Record 1
5
Lattice="5.279 0.000 0.000 0.000 5.279 0.000 0.000 0.000 3.588" Properties=species:S:1:pos:R:3 comment="La2CoIrC PBE optimized geometry" m_tot_mub_per_cell=0.000 volume_a3_per_atom=20.00 e_form_ev_per_atom=-0.2842 pbc="T T T"
La 0.000 2.639 0.000
La 2.639 0.000 0.000
Co 0.000 0.000 1.794
Ir 2.639 2.639 1.794
C 0.000 0.000 0.000

=====

Record 2
5
Lattice="3.831 0.000 0.000 0.000 3.831 0.000 0.000 0.000 4.025" Properties=species:S:1:pos:R:3 comment="MgCo2IrC PBE optimized geometry" m_tot_mub_per_cell=0.988 volume_a3_per_atom=11.82 e_form_ev_per_atom=-0.0734 pbc="T T T"
Mg 0.000 0.000 0.000
Co 0.000 1.916 2.013
Co 1.916 0.000 2.013
Ir 1.916 1.916 0.000
C 1.916 1.916 2.013

=====

Record 3
5
Lattice="4.073 0.000 0.000 0.000 4.073 0.000 0.000 0.000 3.865" Properties=species:S:1:pos:R:3 comment="MgCoIr2C PBE optimized geometry" m_tot_mub_per_cell=0.966 volume_a3_per_atom=12.82 e_form_ev_per_atom=-0.0485 pbc="T T T"
Mg 0.000 0.000 0.000
Co 2.036 2.036 0.000
Ir 0.000 2.036 1.932
Ir 2.036 0.000 1.932
C 2.036 2.036 1.932

=====

Record 4
5
Lattice="3.770 0.000 0.000 0.000 3.770 0.000 0.000 0.000 3.891" Properties=species:S:1:pos:R:3 comment="MnCo2IrC PBE optimized geometry" m_tot_mub_per_cell=5.177 volume_a3_per_atom=11.06 e_form_ev_per_atom=0.1819 pbc="T T T"
Mn 0.000 0.000 0.000
Co 0.000 1.885 1.946
Co 1.885 0.000 1.946
Ir 1.885 1.885 0.000
C 0.000 0.000 1.946

=====

Record 5
5
Lattice="3.840 0.000 0.000 0.000 3.840 0.000 0.000 0.000 3.751" Properties=species:S:1:pos:R:3 comment="Mn2CoIrC PBE optimized geometry" m_tot_mub_per_cell=4.367 volume_a3_per_atom=11.06 e_form_ev_per_atom=0.0946 pbc="T T T"
Mn 0.000 1.920 0.000
Mn 1.920 0.000 0.000
Co 0.000 0.000 1.875
Ir 1.920 1.920 1.875
C 0.000 0.000 0.000

=====

Record 6
5
Lattice="3.798 0.000 0.000 0.000 3.798 0.000 0.000 0.000 5.331" Properties=species:S:1:pos:R:3 comment="CoIrPdC2 PBE optimized geometry" m_tot_mub_per_cell=3.808 volume_a3_per_atom=15.38 e_form_ev_per_atom=2.4004 pbc="T T T"
Co 0.000 0.000 0.000
Ir 1.899 1.899 0.000
Pd 1.899 1.899 2.666
C 0.000 1.899 2.666
C 1.899 0.000 2.666